# Sn3HgBi

Sn3HgBi after structural relaxation (GGA-PBE, the Alexandria database).

Excess energy over the best structure of this formula in the dataset   628 meV per atom

a b c (Å): 5.982 5.982 5.982
angles (deg): 90.00 90.00 90.00
Space group Pm-3m (No. 221)
Asymmetric unit:
Sn 0.000 0.000 0.500 [3 per cell]
Hg 0.500 0.500 0.500 [1 per cell]
Bi 0.000 0.000 0.000 [1 per cell]

---

# Sn2HgBi

Sn2HgBi after structural relaxation (GGA-PBE, the Alexandria database).

Excess energy over the best structure of this formula in the dataset   0 meV per atom

a b c (Å): 3.882 3.882 7.501
angles (deg): 90.00 90.00 90.00
Space group P4/mmm (No. 123)
Asymmetric unit:
Sn 0.000 0.000 0.246 [2 per cell]
Hg 0.500 0.500 0.000 [1 per cell]
Bi 0.500 0.500 0.500 [1 per cell]

---

# Sn2HgBi

Sn2HgBi after structural relaxation (GGA-PBE, the Alexandria database).

Excess energy over the best structure of this formula in the dataset   7 meV per atom

a b c (Å): 8.792 7.038 8.713
angles (deg): 90.00 117.17 90.00
Space group P2_1/c (No. 14)
Asymmetric unit:
Sn 0.030 0.035 0.210 [4 per cell]
Sn 0.444 0.509 0.785 [4 per cell]
Hg 0.329 0.164 0.932 [4 per cell]
Bi 0.182 0.652 0.089 [4 per cell]

---

# Sn2HgBi

Sn2HgBi after structural relaxation (GGA-PBE, the Alexandria database).

Excess energy over the best structure of this formula in the dataset   68 meV per atom

a b c (Å): 6.880 6.880 12.930
angles (deg): 90.00 90.00 90.00
Space group I-42d (No. 122)
Asymmetric unit:
Sn 0.231 0.250 0.125 [8 per cell]
Hg 0.000 0.000 0.000 [4 per cell]
Bi 0.000 0.000 0.500 [4 per cell]

---

# Sn2Hg3Bi4

Sn2Hg3Bi4 after structural relaxation (GGA-PBE, the Alexandria database).

E_tot   -95.659 eV/cell

a b c (Å): 13.156 12.776 6.627
angles (deg): 90.00 99.54 90.00
Space group C2/c (No. 15)
Asymmetric unit:
Sn 0.162 0.156 0.121 [8 per cell]
Hg 0.000 0.001 0.750 [4 per cell]
Hg 0.172 0.498 0.935 [8 per cell]
Bi 0.002 0.339 0.013 [8 per cell]
Bi 0.176 0.176 0.641 [8 per cell]

---

# SnHgBi2

SnHgBi2 after structural relaxation (GGA-PBE, the Alexandria database).

E_tot   -34.756 eV/cell

a b c (Å): 4.3151 4.3151 23.4950
angles (deg): 90.00 90.00 120.00
Space group R3m (No. 160, hexagonal axes)
Asymmetric unit:
Sn 0.0000 0.0000 0.0000 [3 per cell]
Hg 0.0000 0.0000 0.1678 [3 per cell]
Bi 0.0000 0.0000 0.4158 [3 per cell]
Bi 0.0000 0.0000 0.5851 [3 per cell]